1.
4
Lattice="3.323 0.000 0.000 0.000 3.323 0.000 0.000 0.000 6.754" Properties=species:S:1:pos:R:3 comment="PBE HfScIrAu, relaxed" relative_energy_mev_per_atom=0 crystal_system=tetragonal total_energy_ha_per_atom=-0.291 pbc="T T T"
Hf 0.000 0.000 0.000
Sc 0.000 0.000 3.557
Ir 1.662 1.662 5.261
Au 1.662 1.662 1.792

2.
16
Lattice="7.501 0.000 0.000 0.000 7.501 0.000 0.000 0.000 7.501" Properties=species:S:1:pos:R:3 comment="PBE YMgHgBi, relaxed" crystal_system=cubic total_energy_ha_per_atom=-0.125 pbc="T T T"
Y 0.000 0.000 0.000
Y 0.000 3.751 3.751
Y 3.751 0.000 3.751
Y 3.751 3.751 0.000
Mg 0.000 0.000 3.751
Mg 0.000 3.751 0.000
Mg 3.751 0.000 0.000
Mg 3.751 3.751 3.751
Hg 1.875 1.875 5.626
Hg 1.875 5.626 1.875
Hg 5.626 1.875 1.875
Hg 5.626 5.626 5.626
Bi 1.875 1.875 1.875
Bi 1.875 5.626 5.626
Bi 5.626 1.875 5.626
Bi 5.626 5.626 1.875

3.
20
Lattice="5.735 3.311 3.117 -5.735 3.311 3.117 0.000 -6.622 3.117" Properties=species:S:1:pos:R:3 comment="PBE Pa3TlTc4N12, relaxed" crystal_system=trigonal total_energy_ha_per_atom=-0.325 raw_formation_energy_mev_per_atom=-220 pbc="T T T"
Pa -3.224 -1.039 3.117
Pa 2.511 -2.272 3.117
Pa 0.712 3.311 3.117
Tl 0.000 0.000 0.000
Tc -2.515 -4.355 4.676
Tc 0.000 0.000 4.676
Tc -2.515 4.355 4.676
Tc 5.029 0.000 4.676
N -3.400 -2.843 4.395
N -4.575 0.000 4.676
N -0.762 -4.366 4.958
N -1.823 0.000 4.676
N -3.400 2.843 4.958
N 2.288 -3.962 4.676
N 0.911 -1.578 4.676
N -0.762 4.366 4.395
N 0.911 1.578 4.676
N 4.162 -1.523 4.395
N 2.288 3.962 4.676
N 4.162 1.523 4.958

4.
6
Lattice="6.124 0.000 0.000 0.000 3.551 0.000 -2.334 0.000 6.597" Properties=species:S:1:pos:R:3 comment="PBE LaPuC, relaxed" relative_energy_mev_per_atom=0 crystal_system=monoclinic total_energy_ha_per_atom=-0.349 pbc="T T T"
La -0.518 0.888 1.493
La 4.307 2.663 5.104
Pu 2.545 2.663 1.417
Pu 1.245 0.888 5.180
C 1.726 0.888 0.052
C 2.064 2.663 6.546

5.
10
Lattice="5.728 0.000 0.000 0.000 5.728 0.000 0.000 0.000 4.583" Properties=species:S:1:pos:R:3 comment="PBE Cd2Fe2P, relaxed" crystal_system=tetragonal total_energy_ha_per_atom=-0.176 pbc="T T T"
Cd 0.973 1.891 0.000
Cd 1.891 4.755 0.000
Cd 3.836 0.973 0.000
Cd 4.755 3.836 0.000
Fe 0.843 3.706 2.291
Fe 2.021 0.843 2.291
Fe 3.706 4.885 2.291
Fe 4.885 2.021 2.291
P 0.000 0.000 2.291
P 2.864 2.864 2.291

6.
20
Lattice="11.816 0.000 0.000 0.000 11.816 0.000 0.000 0.000 4.643" Properties=species:S:1:pos:R:3 comment="PBE K2NaTl5Hg2, relaxed" crystal_system=tetragonal total_energy_ha_per_atom=-0.063 pbc="T T T"
K 2.030 3.878 0.000
K 3.878 9.786 0.000
K 7.938 2.030 0.000
K 9.786 7.938 0.000
Na 0.000 0.000 0.000
Na 5.908 5.908 0.000
Tl 0.000 5.908 2.321
Tl 0.720 9.505 2.321
Tl 2.311 0.720 2.321
Tl 3.597 6.628 2.321
Tl 5.188 3.597 2.321
Tl 5.908 0.000 2.321
Tl 6.628 8.219 2.321
Tl 8.219 5.188 2.321
Tl 9.505 11.096 2.321
Tl 11.096 2.311 2.321
Hg 1.531 7.439 0.000
Hg 4.378 1.531 0.000
Hg 7.439 10.286 0.000
Hg 10.286 4.378 0.000

7.
6
Lattice="3.534 0.000 0.000 0.000 3.534 0.000 0.000 0.000 7.585" Properties=species:S:1:pos:R:3 comment="PBE NaSiB, relaxed" crystal_system=tetragonal total_energy_ha_per_atom=-0.150 raw_formation_energy_mev_per_atom=390 pbc="T T T"
Na 0.884 0.884 1.110
Na 2.651 2.651 6.475
Si 0.884 0.884 5.002
Si 2.651 2.651 2.584
B 0.884 2.651 3.793
B 2.651 0.884 3.793

8.
5
Lattice="5.161 0.000 0.000 0.000 5.161 0.000 0.000 0.000 5.161" Properties=species:S:1:pos:R:3 comment="PBE AlCd3Rh, relaxed" relative_energy_mev_per_atom=0 crystal_system=cubic total_energy_ha_per_atom=-0.088 pbc="T T T"
Al 0.000 0.000 0.000
Cd 0.000 2.580 2.580
Cd 2.580 0.000 2.580
Cd 2.580 2.580 0.000
Rh 2.580 2.580 2.580